[1]
VASP calculation (SCAN) on a crystal of KAsP2 relaxed with PBEsol.

a b c (Å): 7.111 7.111 7.951
angles (deg): 90.00 90.00 90.00
Space group I-42d (No. 122)
Inequivalent atoms, fractional coordinates:
K  0.000  0.000  0.000
As  0.000  0.000  0.500
P  0.156  0.750  0.625

Values from the calculation:
The calculated total energy comes out at -12.436 eV/atom.

---

[2]
VASP calculation (SCAN) on a crystal of K2AsP relaxed with PBEsol.

a b c (Å): 7.510 7.510 7.510
angles (deg): 90.00 90.00 90.00
Space group Fm-3m (No. 225)
Inequivalent atoms, fractional coordinates:
K  0.250  0.250  0.250
As  0.000  0.000  0.000
P  0.000  0.000  0.500

Values from the calculation:
The calculated total energy comes out at -11.604 eV/atom.

---

no.,size of the total moment (μB per formula unit)
1,0.00
2,0.00